# 1
The following is a PBE calculation of a geometry-optimized NaPrSn2Se4 structure, from Alexandria via LeMat-Bulk.

Cell: 7.339 4.292 7.527 Å, 90.00 108.67 90.00°
Space group P2/m (No. 10)
Symmetry-distinct sites (fractional):
Na 0.000 0.000 0.000
Pr 0.500 0.500 0.000
Sn 0.000 0.500 0.500
Sn 0.500 0.000 0.500
Se 0.256 0.000 0.755
Se 0.257 0.500 0.249

Calculated values
- E_form (uncorrected) (meV per atom) = -1006.3
- volume (Å³ per cell) = 224.6
- crystal system = monoclinic

---

# 2
The following is a PBE calculation of a geometry-optimized NaPr2SnSe4 structure, from Alexandria via LeMat-Bulk.

Cell: 8.586 8.605 12.105 Å, 90.00 90.00 90.00°
Space group Imma (No. 74)
Symmetry-distinct sites (fractional):
Na 0.250 0.250 0.250
Pr 0.000 0.000 0.000
Pr 0.250 0.250 0.750
Sn 0.000 0.000 0.500
Se 0.000 0.004 0.751
Se 0.250 0.250 0.000

Calculated values
- E_form (uncorrected) (meV per atom) = -1359.6
- volume (Å³ per cell) = 894.3
- crystal system = orthorhombic

---

# 3
The following is a PBE calculation of a geometry-optimized Na2PrSnSe4 structure, from Alexandria via LeMat-Bulk.

Cell: 7.359 4.205 7.444 Å, 90.00 109.00 90.00°
Space group P2/m (No. 10)
Symmetry-distinct sites (fractional):
Na 0.000 0.000 0.000
Na 0.500 0.500 0.000
Pr 0.000 0.500 0.500
Sn 0.500 0.000 0.500
Se 0.255 0.000 0.735
Se 0.263 0.500 0.267

Calculated values
- E_form (uncorrected) (meV per atom) = -1163.2
- volume (Å³ per cell) = 217.8
- crystal system = monoclinic